Entry 1:
# TbY2Er3S6 PBE relaxed
# Symmetry   C2/m (12)
# Energy relative to the elements, uncorrected   -23.778 eV/f.u.
# VASP energy   -6.649 eV/atom
data_TbY2Er3S6
_chemical_formula_sum 'Tb1 Y2 Er3 S6'
_cell_length_a 6.7426
_cell_length_b 6.7426
_cell_length_c 6.7500
_cell_angle_alpha 99.55
_cell_angle_beta 99.55
_cell_angle_gamma 120.22
_space_group_name_H-M_alt 'P 1'
_space_group_IT_number 1
loop_
_space_group_symop_operation_xyz
'x,y,z'
loop_
_atom_site_label
_atom_site_fract_x
_atom_site_fract_y
_atom_site_fract_z
Y1 0.3334 0.6666 0.0000
Y2 0.6666 0.3334 0.0000
Er1 0.8335 0.1665 0.5000
Er2 0.1665 0.8335 0.5000
Er3 0.5000 0.5000 0.5000
S1 0.4191 0.0852 0.2554
S2 0.2487 0.2487 0.7446
S3 0.9148 0.5809 0.7446
S4 0.0852 0.4191 0.2554
S5 0.5809 0.9148 0.7446
S6 0.7513 0.7513 0.2554
Tb1 0.0000 0.0000 0.0000


Entry 2:
# Tb2Y3ErS6 PBE relaxed
# Symmetry   C2/m (12)
# Energy relative to the elements, uncorrected   -23.933 eV/f.u.
# VASP energy   -6.826 eV/atom
data_Tb2Y3ErS6
_chemical_formula_sum 'Tb2 Y3 Er1 S6'
_cell_length_a 3.9045
_cell_length_b 7.8528
_cell_length_c 8.7369
_cell_angle_alpha 103.05
_cell_angle_beta 102.91
_cell_angle_gamma 90.00
_space_group_name_H-M_alt 'P 1'
_space_group_IT_number 1
loop_
_space_group_symop_operation_xyz
'x,y,z'
loop_
_atom_site_label
_atom_site_fract_x
_atom_site_fract_y
_atom_site_fract_z
S1 0.3339 0.4163 0.6677
S2 0.6661 0.5837 0.3323
S3 0.0005 0.7541 0.0010
S4 0.9995 0.2459 0.9990
S5 0.6649 0.0816 0.3299
S6 0.3351 0.9184 0.6701
Tb1 0.8328 0.6655 0.6655
Tb2 0.1672 0.3345 0.3345
Y1 0.5000 0.5000 0.0000
Y2 0.8323 0.1673 0.6645
Y3 0.1677 0.8327 0.3355
Er1 0.5000 0.0000 0.0000


Entry 3:
# Tb2ErZrS4 PBE relaxed
# Symmetry   P2/m (10)
# Energy relative to the elements, uncorrected   -14.625 eV/f.u.
# VASP energy   -6.688 eV/atom
data_Tb2ErZrS4
_chemical_formula_sum 'Tb2 Er1 Zr1 S4'
_cell_length_a 3.8633
_cell_length_b 6.6742
_cell_length_c 6.6688
_cell_angle_alpha 109.73
_cell_angle_beta 90.00
_cell_angle_gamma 90.00
_space_group_name_H-M_alt 'P 1'
_space_group_IT_number 1
loop_
_space_group_symop_operation_xyz
'x,y,z'
loop_
_atom_site_label
_atom_site_fract_x
_atom_site_fract_y
_atom_site_fract_z
S1 0.5000 0.7498 0.7581
S2 0.0000 0.2560 0.7598
S3 0.5000 0.2502 0.2419
S4 0.0000 0.7440 0.2402
Er1 0.0000 0.0000 0.0000
Tb1 0.5000 0.0000 0.5000
Tb2 0.0000 0.5000 0.5000
Zr1 0.5000 0.5000 0.0000


Entry 4:
# ErTcS2 PBE relaxed
# Symmetry   R-3m (166)
# Energy relative to the elements, uncorrected   -1.725 eV/f.u.
# VASP energy   -6.227 eV/atom
data_ErTcS2
_chemical_formula_sum 'Er1 Tc1 S2'
_cell_length_a 3.5682
_cell_length_b 3.5682
_cell_length_c 8.2543
_cell_angle_alpha 77.52
_cell_angle_beta 77.52
_cell_angle_gamma 60.00
_space_group_name_H-M_alt 'P 1'
_space_group_IT_number 1
loop_
_space_group_symop_operation_xyz
'x,y,z'
loop_
_atom_site_label
_atom_site_fract_x
_atom_site_fract_y
_atom_site_fract_z
S1 0.1114 0.1114 0.6658
S2 0.8886 0.8886 0.3342
Tc1 0.5000 0.5000 0.5000
Er1 0.0000 0.0000 0.0000


Entry 5:
# Er2TcS PBE relaxed
# Symmetry   R-3m (166)
# Energy relative to the elements, uncorrected   -0.745 eV/f.u.
# VASP energy   -6.091 eV/atom
data_Er2TcS
_chemical_formula_sum 'Er2 Tc1 S1'
_cell_length_a 3.4341
_cell_length_b 3.4341
_cell_length_c 9.0372
_cell_angle_alpha 79.05
_cell_angle_beta 79.05
_cell_angle_gamma 60.00
_space_group_name_H-M_alt 'P 1'
_space_group_IT_number 1
loop_
_space_group_symop_operation_xyz
'x,y,z'
loop_
_atom_site_label
_atom_site_fract_x
_atom_site_fract_y
_atom_site_fract_z
Er1 0.9010 0.9010 0.2971
Er2 0.0990 0.0990 0.7029
S1 0.5000 0.5000 0.5000
Tc1 0.0000 0.0000 0.0000


Entry 6:
# Er2Te2S PBE relaxed
# Energy relative to the lowest polymorph listed for this composition   0.0000 eV per atom
# Symmetry   Ibam (72)
# Energy relative to the elements, uncorrected   -7.765 eV/f.u.
# VASP energy   -5.460 eV/atom
data_Er2Te2S
_chemical_formula_sum 'Er4 Te4 S2'
_cell_length_a 6.3777
_cell_length_b 7.6718
_cell_length_c 7.6718
_cell_angle_alpha 62.34
_cell_angle_beta 65.42
_cell_angle_gamma 65.42
_space_group_name_H-M_alt 'P 1'
_space_group_IT_number 1
loop_
_space_group_symop_operation_xyz
'x,y,z'
loop_
_atom_site_label
_atom_site_fract_x
_atom_site_fract_y
_atom_site_fract_z
Er1 0.0986 0.1338 0.6692
Er2 0.9014 0.8662 0.3308
Er3 0.4014 0.3308 0.8662
Er4 0.5986 0.6692 0.1338
Te1 0.6477 0.2277 0.4767
Te2 0.8523 0.5233 0.7723
Te3 0.1477 0.4767 0.2277
Te4 0.3523 0.7723 0.5233
S1 0.7500 0.0000 0.0000
S2 0.2500 0.0000 0.0000


Entry 7:
# Er3Te2S PBE relaxed
# Energy relative to the lowest polymorph listed for this composition   0.0749 eV per atom
# Symmetry   Cmcm (63)
# Energy relative to the elements, uncorrected   -8.321 eV/f.u.
# VASP energy   -5.403 eV/atom
data_Er3Te2S
_chemical_formula_sum 'Er6 Te4 S2'
_cell_length_a 7.2607
_cell_length_b 7.1223
_cell_length_c 7.1223
_cell_angle_alpha 121.48
_cell_angle_beta 90.00
_cell_angle_gamma 90.00
_space_group_name_H-M_alt 'P 1'
_space_group_IT_number 1
loop_
_space_group_symop_operation_xyz
'x,y,z'
loop_
_atom_site_label
_atom_site_fract_x
_atom_site_fract_y
_atom_site_fract_z
Er1 0.9697 0.8587 0.1413
Er2 0.4696 0.4999 0.4999
Er3 0.9697 0.1413 0.8587
Er4 0.4697 0.1413 0.8587
Er5 0.4697 0.8587 0.1413
Er6 0.9696 0.5001 0.5001
Te1 0.7197 0.1686 0.5178
Te2 0.2197 0.4822 0.8314
Te3 0.2197 0.8314 0.4822
Te4 0.7197 0.5178 0.1686
S1 0.2196 0.1725 0.1725
S2 0.7196 0.8275 0.8275


Entry 8:
# ErTeS3 PBE relaxed
# Symmetry   C2/m (12)
# Energy relative to the elements, uncorrected   -4.435 eV/f.u.
# VASP energy   -4.904 eV/atom
data_ErTeS3
_chemical_formula_sum 'Er2 Te2 S6'
_cell_length_a 3.9264
_cell_length_b 7.4329
_cell_length_c 8.3808
_cell_angle_alpha 92.46
_cell_angle_beta 103.55
_cell_angle_gamma 90.00
_space_group_name_H-M_alt 'P 1'
_space_group_IT_number 1
loop_
_space_group_symop_operation_xyz
'x,y,z'
loop_
_atom_site_label
_atom_site_fract_x
_atom_site_fract_y
_atom_site_fract_z
S1 0.3389 0.9771 0.6777
S2 0.1760 0.5945 0.3521
S3 0.6611 0.0229 0.3223
S4 0.9617 0.7866 0.9233
S5 0.0383 0.2134 0.0767
S6 0.8240 0.4055 0.6479
Te1 0.5486 0.6792 0.0972
Te2 0.4514 0.3208 0.9028
Er1 0.7808 0.7686 0.5615
Er2 0.2192 0.2314 0.4385


Entry 9:
# Er2TeS2 PBE relaxed
# Energy relative to the lowest polymorph listed for this composition   0.1349 eV per atom
# Symmetry   C2/c (15)
# Energy relative to the elements, uncorrected   -8.604 eV/f.u.
# VASP energy   -5.825 eV/atom
data_Er2TeS2
_chemical_formula_sum 'Er4 Te2 S4'
_cell_length_a 7.0107
_cell_length_b 7.0107
_cell_length_c 6.6222
_cell_angle_alpha 110.82
_cell_angle_beta 110.82
_cell_angle_gamma 98.05
_space_group_name_H-M_alt 'P 1'
_space_group_IT_number 1
loop_
_space_group_symop_operation_xyz
'x,y,z'
loop_
_atom_site_label
_atom_site_fract_x
_atom_site_fract_y
_atom_site_fract_z
Er1 0.8237 0.1763 0.2500
Er2 0.1763 0.8237 0.7500
Er3 0.4117 0.5883 0.2500
Er4 0.5883 0.4117 0.7500
S1 0.4482 0.2239 0.9757
S2 0.7761 0.5518 0.5243
S3 0.2239 0.4482 0.4757
S4 0.5518 0.7761 0.0243
Te1 0.1278 0.8722 0.2500
Te2 0.8722 0.1278 0.7500


Entry 10:
# Er3Te2S PBE relaxed
# Energy relative to the lowest polymorph listed for this composition   0.0000 eV per atom
# Symmetry   C2/m (12)
# Energy relative to the elements, uncorrected   -8.771 eV/f.u.
# VASP energy   -5.478 eV/atom
data_Er3Te2S
_chemical_formula_sum 'Er6 Te4 S2'
_cell_length_a 7.1840
_cell_length_b 7.3067
_cell_length_c 7.1854
_cell_angle_alpha 80.58
_cell_angle_beta 60.01
_cell_angle_gamma 70.89
_space_group_name_H-M_alt 'P 1'
_space_group_IT_number 1
loop_
_space_group_symop_operation_xyz
'x,y,z'
loop_
_atom_site_label
_atom_site_fract_x
_atom_site_fract_y
_atom_site_fract_z
Er1 0.5656 0.2144 0.3616
Er2 0.7057 0.7946 0.0000
Er3 0.2943 0.2054 0.0000
Er4 0.9272 0.2144 0.6384
Er5 0.4344 0.7856 0.6384
Er6 0.0728 0.7856 0.3616
S1 0.6688 0.0000 0.6623
S2 0.3312 0.0000 0.3377
Te1 0.8433 0.5000 0.3134
Te2 0.5000 0.5000 0.0000
Te3 0.0000 0.0000 0.0000
Te4 0.1567 0.5000 0.6866


Entry 11:
# Er4Te3S4 PBE relaxed
# Symmetry   Immm (71)
# Energy relative to the elements, uncorrected   -15.816 eV/f.u.
# VASP energy   -5.455 eV/atom
data_Er4Te3S4
_chemical_formula_sum 'Er4 Te3 S4'
_cell_length_a 4.0268
_cell_length_b 8.3782
_cell_length_c 9.1029
_cell_angle_alpha 117.40
_cell_angle_beta 102.78
_cell_angle_gamma 90.00
_space_group_name_H-M_alt 'P 1'
_space_group_IT_number 1
loop_
_space_group_symop_operation_xyz
'x,y,z'
loop_
_atom_site_label
_atom_site_fract_x
_atom_site_fract_y
_atom_site_fract_z
S1 0.3309 0.5259 0.6618
S2 0.6691 0.8640 0.3382
S3 0.6691 0.4741 0.3382
S4 0.3309 0.1360 0.6618
Te1 0.1063 0.1063 0.2125
Te2 0.8937 0.8937 0.7875
Te3 0.0000 0.5000 0.0000
Er1 0.7689 0.2689 0.5378
Er2 0.5000 0.2240 0.0000
Er3 0.5000 0.7760 0.0000
Er4 0.2311 0.7311 0.4622


Entry 12:
# Er4TeS3 PBE relaxed
# Symmetry   P6_3/mmc (194)
# Energy relative to the elements, uncorrected   -14.320 eV/f.u.
# VASP energy   -6.012 eV/atom
data_Er4TeS3
_chemical_formula_sum 'Er8 Te2 S6'
_cell_length_a 3.9327
_cell_length_b 3.9327
_cell_length_c 26.5450
_cell_angle_alpha 90.00
_cell_angle_beta 90.00
_cell_angle_gamma 120.00
_space_group_name_H-M_alt 'P 1'
_space_group_IT_number 1
loop_
_space_group_symop_operation_xyz
'x,y,z'
loop_
_atom_site_label
_atom_site_fract_x
_atom_site_fract_y
_atom_site_fract_z
Er1 0.3333 0.6667 0.4384
Er2 0.6667 0.3333 0.5616
Er3 0.0000 0.0000 0.3281
Er4 0.0000 0.0000 0.8281
Er5 0.0000 0.0000 0.6719
Er6 0.3333 0.6667 0.0616
Er7 0.6667 0.3333 0.9384
Er8 0.0000 0.0000 0.1719
S1 0.0000 0.0000 0.0000
S2 0.3333 0.6667 0.6166
S3 0.0000 0.0000 0.5000
S4 0.6667 0.3333 0.1166
S5 0.6667 0.3333 0.3834
S6 0.3333 0.6667 0.8834
Te1 0.3333 0.6667 0.2500
Te2 0.6667 0.3333 0.7500